First-principles (PBE) data for an optimized crystal structure of BaNd5Cd6, as listed in Alexandria via LeMat-Bulk.

The structure in POSCAR format:
```
BaNd5Cd6
1.0
-2.761 3.921 8.297
2.761 -3.921 8.297
2.761 3.921 -8.297
Ba Nd Cd
1 5 6
direct
0.000 0.000 0.000 Ba
0.161 0.661 0.500 Nd
0.331 0.331 0.000 Nd
0.500 0.000 0.500 Nd
0.669 0.669 0.000 Nd
0.839 0.339 0.500 Nd
0.089 0.826 0.264 Cd
0.276 0.500 0.776 Cd
0.438 0.174 0.264 Cd
0.562 0.826 0.736 Cd
0.724 0.500 0.224 Cd
0.911 0.174 0.736 Cd
```

Values from the calculation:
E = -2.89 eV per atom
Energy of formation from the pure elements = -3.4 eV per formula unit
Density = 7.086 g/cm3